1.
NaCa3Ho3S8: relaxed, PBE-GGA.

The formation energy (no corrections) comes out at -1.954 eV/atom. The crystal system is trigonal. The value obtained for the final energy is -5.560 eV per atom.

It has space group R-3m (No. 166, hexagonal axes), with a = 7.8992 Å, b = 7.8992 Å, c = 19.5289 Å, α = 90.00°, β = 90.00° and γ = 120.00°. The inequivalent atoms are Na at (0.0000, 0.0000, 0.0000), Ca at (0.0000, 0.5000, 0.5000), Ho at (0.0000, 0.5000, 0.0000), S at (0.0000, 0.0000, 0.2529) and S at (0.0091, 0.5046, 0.2538).



2.
CePuFe: relaxed, PBE-GGA.

The crystal system is monoclinic. The value obtained for the final energy is -9.471 eV per atom. As for the distance to the lowest polymorph of the same formula: 0.145 eV per formula unit.

It has space group C2/m (No. 12), with a = 12.110 Å, b = 3.650 Å, c = 5.931 Å, α = 90.00°, β = 97.45° and γ = 90.00°. The inequivalent atoms are Ce at (0.088, 0.000, 0.291), Pu at (0.187, 0.000, 0.748) and Fe at (0.100, 0.500, 0.966).



3.
Tm2MgS: relaxed, PBE-GGA.

The formation energy (no corrections) comes out at -0.906 eV/atom. The crystal system is trigonal. The value obtained for the final energy is -4.572 eV per atom. As for the distance to the lowest polymorph of the same formula: 0.000 eV per formula unit.

It has space group R3m (No. 160, hexagonal axes), with a = 3.6730 Å, b = 3.6730 Å, c = 25.5885 Å, α = 90.00°, β = 90.00° and γ = 120.00°. The inequivalent atoms are Tm at (0.0000, 0.0000, 0.0000), Tm at (0.0000, 0.0000, 0.2066), Mg at (0.0000, 0.0000, 0.4364) and S at (0.0000, 0.0000, 0.6039).